Entry 1:
ScTlRu2 | PBE | optimized geometry

Magnetic moment (μB per atom): 0.00
E_form (kJ/mol of formula units): 116

abc: 9.1441 9.1441 9.1441
angles: 19.30 19.30 19.30
Sites, in units of the cell vectors:
Ru: 0.2525 0.2525 0.2525
Ru: 0.9925 0.9925 0.9925
Sc: 0.5100 0.5100 0.5100
Tl: 0.7450 0.7450 0.7450

=====

Entry 2:
CaDyMgAg | PBE | optimized geometry

Excess energy over the best structure of this formula in the dataset (kJ/mol of atoms): 0.00
Magnetic moment (μB per atom): 0.00
E_form (kJ/mol of formula units): -74

abc: 3.7314 3.7314 7.6985
angles: 90.00 90.00 90.00
Sites, in units of the cell vectors:
Ca: 0.0000 0.0000 0.8732
Dy: 0.0000 0.0000 0.3360
Ag: 0.5000 0.5000 0.1264
Mg: 0.5000 0.5000 0.5923

=====

Entry 3:
TlAg2RhF6 | PBE | optimized geometry

Magnetic moment (μB per atom): 0.00
ΔE_f (raw) (meV per atom): -1401

abc: 6.3547 6.3535 6.0789
angles: 58.44 58.42 59.94
Sites, in units of the cell vectors:
F: 0.9725 0.4932 0.2912
F: 0.3898 0.6593 0.8113
F: 0.6599 0.1389 0.8120
F: 0.1397 0.3896 0.8115
F: 0.2426 0.9729 0.2917
F: 0.4923 0.2428 0.2917
Rh: 0.3162 0.3161 0.0515
Tl: 0.8162 0.8163 0.5512
Ag: 0.0827 0.0828 0.7522
Ag: 0.5496 0.5495 0.3510

=====

Entry 4:
ScTe2AsI | PBE | optimized geometry

Excess energy over the best structure of this formula in the dataset (kJ/mol of atoms): 0.00
Magnetic moment (μB per atom): 0.29
ΔE_f (raw) (meV per atom): 59

abc: 5.6352 5.6352 5.5522
angles: 90.00 90.00 90.00
Site moments in Bohr magnetons follow the coordinates.
Sites, in units of the cell vectors:
As: 0.5000 0.5000 0.5000  0.87
I: 0.0000 0.0000 0.5000  -0.01
Sc: 0.0000 0.0000 0.0000  0.06
Te: 0.5000 0.0000 0.0000  -0.15
Te: 0.0000 0.5000 0.0000  -0.15

=====

Entry 5:
Sr12Hg3Rh5 | PBE | optimized geometry

Magnetic moment (μB per atom): 0.00
E_form (kJ/mol of formula units): -152

abc: 15.8293 15.8293 15.8293
angles: 109.47 109.47 109.47
Sites, in units of the cell vectors:
Hg: 0.7500 0.3750 0.1250
Hg: 0.6250 0.3750 0.7500
Hg: 0.3750 0.7500 0.6250
Hg: 0.6250 0.2500 0.3750
Hg: 0.8750 0.1250 0.2500
Hg: 0.3750 0.6250 0.2500
Hg: 0.8750 0.7500 0.1250
Hg: 0.1250 0.8750 0.7500
Hg: 0.7500 0.8750 0.6250
Hg: 0.2500 0.1250 0.3750
Hg: 0.1250 0.2500 0.8750
Hg: 0.2500 0.6250 0.8750
Sr: 0.7048 0.5898 0.1794
Sr: 0.2048 0.6794 0.0898
Sr: 0.8206 0.9102 0.2952
Sr: 0.0254 0.4105 0.8206
Sr: 0.9105 0.0898 0.8851
Sr: 0.1794 0.0895 0.9746
Sr: 0.6149 0.5895 0.9102
Sr: 0.9746 0.5895 0.1794
Sr: 0.3206 0.5254 0.4105
Sr: 0.0895 0.1794 0.4746
Sr: 0.5895 0.9746 0.6794
Sr: 0.4746 0.6794 0.0895
Sr: 0.4105 0.0254 0.3206
Sr: 0.5898 0.8851 0.4105
Sr: 0.2952 0.4102 0.8206
Sr: 0.9105 0.8206 0.5254
Sr: 0.6794 0.4746 0.5895
Sr: 0.0895 0.9102 0.1149
Sr: 0.1794 0.0898 0.7048
Sr: 0.2952 0.8851 0.9746
Sr: 0.8851 0.5898 0.9105
Sr: 0.0898 0.9105 0.3851
Sr: 0.8851 0.2952 0.4746
Sr: 0.5895 0.6149 0.4102
Sr: 0.4746 0.7952 0.8851
Sr: 0.9746 0.3851 0.2952
Sr: 0.4102 0.2952 0.3206
Sr: 0.1149 0.7048 0.5254
Sr: 0.4102 0.1149 0.5895
Sr: 0.0254 0.6149 0.7048
Sr: 0.0898 0.1794 0.2048
Sr: 0.1149 0.4102 0.0895
Sr: 0.2048 0.5254 0.6149
Sr: 0.4105 0.3851 0.5898
Sr: 0.5254 0.2048 0.1149
Sr: 0.5898 0.7048 0.6794
Sr: 0.5254 0.3206 0.9105
Sr: 0.6149 0.0254 0.2048
Sr: 0.3851 0.9746 0.7952
Sr: 0.9102 0.8206 0.7952
Sr: 0.7048 0.1149 0.0254
Sr: 0.6794 0.2048 0.5898
Sr: 0.3851 0.4105 0.0898
Sr: 0.3206 0.7952 0.4102
Sr: 0.8206 0.9105 0.0254
Sr: 0.7952 0.4746 0.3851
Sr: 0.7952 0.3206 0.9102
Sr: 0.9102 0.0895 0.6149
Rh: 0.2500 0.8750 0.1250
Rh: 0.3750 0.2500 0.1250
Rh: 0.1250 0.3750 0.2500
Rh: 0.0000 0.5000 0.5000
Rh: 0.0000 0.5000 0.0000
Rh: 0.8750 0.2500 0.6250
Rh: 0.5000 0.5000 0.5000
Rh: 0.5000 0.0000 0.5000
Rh: 0.8750 0.6250 0.7500
Rh: 0.1250 0.7500 0.3750
Rh: 0.6250 0.7500 0.8750
Rh: 0.2500 0.3750 0.6250
Rh: 0.0000 0.0000 0.0000
Rh: 0.7500 0.1250 0.8750
Rh: 0.5000 0.5000 0.0000
Rh: 0.7500 0.6250 0.3750
Rh: 0.6250 0.8750 0.2500
Rh: 0.5000 0.0000 0.0000
Rh: 0.0000 0.0000 0.5000
Rh: 0.3750 0.1250 0.7500

=====

Entry 6:
Ac5ZnSn2 | PBE | optimized geometry

Magnetic moment (μB per atom): 0.00
E_form (kJ/mol of formula units): -248

abc: 7.6611 7.6610 7.2363
angles: 121.95 121.96 90.02
Sites, in units of the cell vectors:
Zn: 0.2216 0.2216 0.4433
Ac: 0.7221 0.7221 0.9444
Ac: 0.7221 0.2223 0.9444
Ac: 0.2223 0.7221 0.9444
Ac: 0.2223 0.2223 0.9444
Ac: 0.7224 0.7224 0.4447
Sn: 0.7221 0.2221 0.4442
Sn: 0.2221 0.7221 0.4442

=====

Quick rundown of calculated total energy, same order as above: -6.51; -2.95; -4.07; -3.70; -2.97; -4.05 eV per atom